{
  "formula": "Rb2NiAgI6",
  "functional": "GGA-PBE",
  "state": "relaxed",
  "lattice": [[7.998, 0.000, 0.000], [3.999, 6.926, 0.000], [3.999, 2.309, 13.785]],
  "species": ["Rb", "Rb", "Rb", "Rb", "Ni", "Ni", "Ag", "Ag", "I", "I", "I", "I", "I", "I", "I", "I", "I", "I", "I", "I"],
  "fractional_positions": [[0.880, 0.880, 0.359], [0.120, 0.120, 0.641], [0.702, 0.702, 0.895], [0.298, 0.298, 0.105], [0.000, 0.000, 0.000], [0.500, 0.500, 0.500], [0.586, 0.586, 0.243], [0.414, 0.414, 0.757], [0.861, 0.377, 0.385], [0.377, 0.861, 0.385], [0.377, 0.377, 0.385], [0.139, 0.623, 0.615], [0.623, 0.139, 0.615], [0.623, 0.623, 0.615], [0.720, 0.197, 0.885], [0.197, 0.720, 0.885], [0.197, 0.197, 0.885], [0.280, 0.803, 0.115], [0.803, 0.280, 0.115], [0.803, 0.803, 0.115]],
  "sg": "No. 166",
  "raw_formation_energy_ev_per_atom": -0.63
}